Record 1
# CsRbNd2Sb2, optimized geometry, DFT PBE
# Mass density in kg/m³: 4716
# Calculated total energy in eV/cell: -23.423
data_CsRbNd2Sb2
_space_group_name_H-M_alt 'P 4 m m'
_space_group_IT_number 99
_cell_length_a 5.4376
_cell_length_b 5.4376
_cell_length_c 8.9352
_cell_angle_alpha 90.00
_cell_angle_beta 90.00
_cell_angle_gamma 90.00
loop_
_space_group_symop_operation_xyz
'x,y,z'
'-y,x,z'
'-x,-y,z'
'y,-x,z'
'-x,y,z'
'y,x,z'
'x,-y,z'
'-y,-x,z'
loop_
_atom_site_label
_atom_site_fract_x
_atom_site_fract_y
_atom_site_fract_z
_atom_site_occupancy
Cs1 0.0000 0.0000 0.0000 1
Rb1 0.5000 0.5000 0.7365 1
Nd1 0.0000 0.5000 0.3734 1
Sb1 0.0000 0.0000 0.5598 1
Sb2 0.5000 0.5000 0.1826 1


Record 2
# Cs2Nd2SeS3, optimized geometry, DFT PBE
# Mass density in kg/m³: 4676
# Calculated total energy in eV/cell: -41.405
data_Cs2Nd2SeS3
_space_group_name_H-M_alt 'P 3 m 1'
_space_group_IT_number 156
_cell_length_a 4.2759
_cell_length_b 4.2759
_cell_length_c 16.3580
_cell_angle_alpha 90.00
_cell_angle_beta 90.00
_cell_angle_gamma 120.00
loop_
_space_group_symop_operation_xyz
'x,y,z'
'-y,x-y,z'
'-x+y,-x,z'
'-y,-x,z'
'-x+y,y,z'
'x,x-y,z'
loop_
_atom_site_label
_atom_site_fract_x
_atom_site_fract_y
_atom_site_fract_z
_atom_site_occupancy
Cs1 0.0000 0.0000 0.0000 1
Cs2 0.3333 0.6667 0.5090 1
Nd1 0.6667 0.3333 0.2474 1
Nd2 0.6667 0.3333 0.7536 1
Se1 0.0000 0.0000 0.3500 1
S1 0.0000 0.0000 0.6622 1
S2 0.3333 0.6667 0.1568 1
S3 0.3333 0.6667 0.8462 1


Record 3
# CsNdSnS3, optimized geometry, DFT PBE
# Mass density in kg/m³: 3925
# Calculated total energy in eV/cell: -118.196
data_CsNdSnS3
_space_group_name_H-M_alt 'C m c m'
_space_group_IT_number 63
_space_group_name_Hall '-C 2c 2'
_cell_length_a 4.1388
_cell_length_b 17.1536
_cell_length_c 11.7290
_cell_angle_alpha 90.00
_cell_angle_beta 90.00
_cell_angle_gamma 90.00
loop_
_atom_site_label
_atom_site_fract_x
_atom_site_fract_y
_atom_site_fract_z
_atom_site_occupancy
Cs1 0.0000 0.1902 0.2500 1
Nd1 0.0000 0.5000 0.0000 1
Sn1 0.0000 0.1065 0.7500 1
S1 0.0000 0.1107 0.5127 1
S2 0.0000 0.4950 0.2500 1


Record 4
# Cs2Nd2TeS3, optimized geometry, DFT PBE
# Mass density in kg/m³: 4788
# Calculated total energy in eV/cell: -40.296
data_Cs2Nd2TeS3
_space_group_name_H-M_alt 'P 3 m 1'
_space_group_IT_number 156
_cell_length_a 4.3288
_cell_length_b 4.3288
_cell_length_c 16.6293
_cell_angle_alpha 90.00
_cell_angle_beta 90.00
_cell_angle_gamma 120.00
loop_
_space_group_symop_operation_xyz
'x,y,z'
'-y,x-y,z'
'-x+y,-x,z'
'-y,-x,z'
'-x+y,y,z'
'x,x-y,z'
loop_
_atom_site_label
_atom_site_fract_x
_atom_site_fract_y
_atom_site_fract_z
_atom_site_occupancy
Cs1 0.0000 0.0000 0.0000 1
Cs2 0.3333 0.6667 0.5219 1
Nd1 0.6667 0.3333 0.2391 1
Nd2 0.6667 0.3333 0.7609 1
Te1 0.0000 0.0000 0.3554 1
S1 0.0000 0.0000 0.6730 1
S2 0.3333 0.6667 0.1526 1
S3 0.3333 0.6667 0.8504 1


Record 5
# CsNdTeS, optimized geometry, DFT PBE
# Mass density in kg/m³: 4977
# Calculated total energy in eV/cell: -38.428
data_CsNdTeS
_space_group_name_H-M_alt 'P -3 m 1'
_space_group_IT_number 164
_space_group_name_Hall '-P 3 2"'
_cell_length_a 4.4359
_cell_length_b 4.4359
_cell_length_c 17.1056
_cell_angle_alpha 90.00
_cell_angle_beta 90.00
_cell_angle_gamma 120.00
loop_
_atom_site_label
_atom_site_fract_x
_atom_site_fract_y
_atom_site_fract_z
_atom_site_occupancy
Cs1 0.3333 0.6667 0.2705 1
Nd1 0.0000 0.0000 0.0000 1
Nd2 0.0000 0.0000 0.5000 1
Te1 0.3333 0.6667 0.8915 1
S1 0.3333 0.6667 0.5836 1


Record 6
# CsNdTmS3, optimized geometry, DFT PBE
# Mass density in kg/m³: 4590
# Calculated total energy in eV/cell: -130.400
data_CsNdTmS3
_space_group_name_H-M_alt 'C m c m'
_space_group_IT_number 63
_space_group_name_Hall '-C 2c 2'
_cell_length_a 4.4591
_cell_length_b 15.7722
_cell_length_c 11.1583
_cell_angle_alpha 90.00
_cell_angle_beta 90.00
_cell_angle_gamma 90.00
loop_
_atom_site_label
_atom_site_fract_x
_atom_site_fract_y
_atom_site_fract_z
_atom_site_occupancy
Cs1 0.0000 0.2364 0.2500 1
Nd1 0.0000 0.5000 0.0000 1
Tm1 0.0000 0.0312 0.7500 1
S1 0.0000 0.1154 0.5555 1
S2 0.0000 0.4476 0.7500 1